[1]
Pr2Sm3TmS6 (PBE, optimized geometry); DOS at the Fermi energy = 0.44 states/eV per atom; space-group type = C2/m (12); total moment = 0.00 μB per formula unit; electronic total energy = -6.414 eV per atom; uncorrected formation energy = -2001 meV/atom
1.0
3.9998 0.0000 0.0000
0.0000 8.0743 0.3148
-1.9999 -2.2992 8.4209
Tm Pr S Sm
1 2 6 3
direct
0.5000 0.0000 0.0000 Tm
0.1679 0.3362 0.3357 Pr
0.8321 0.6638 0.6643 Pr
0.9969 0.2363 0.9938 S
0.6641 0.5884 0.3281 S
0.3392 0.9252 0.6785 S
0.3359 0.4116 0.6719 S
0.6608 0.0748 0.3215 S
0.0031 0.7637 0.0062 S
0.1705 0.8335 0.3409 Sm
0.8295 0.1665 0.6591 Sm
0.5000 0.5000 0.0000 Sm

[2]
Cu2ReAs (PBE, optimized geometry); DOS at the Fermi energy = 0.65 states/eV per atom; space-group type = Cmmm (65); total moment = 0.00 μB per formula unit; electronic total energy = -5.988 eV per atom; calculated formation energy = 334.8 meV per atom
1.0
-4.2342 -1.9635 1.2232
2.7363 -2.4971 -3.0916
1.1825 -1.2564 2.0656
Re As Cu
1 1 2
direct
0.5000 0.0000 0.5000 Re
0.0000 0.5000 0.5000 As
0.5000 0.5000 0.0000 Cu
0.0000 0.0000 0.0000 Cu

[3]
Nd2Ga6Ir9 (PBE, optimized geometry); DOS at the Fermi energy = 0.49 states/eV per atom; space-group type = P6/mmm (191); total moment = 0.00 μB per formula unit; electronic total energy = -6.715 eV per atom; calculated formation energy = -395.2 meV per atom
1.0
5.5630 0.0000 0.0000
-2.7815 4.8177 0.0000
0.0000 0.0000 11.8714
Ir Ga Nd
9 6 2
direct
0.5000 0.0000 0.5000 Ir
0.5000 0.0000 0.1688 Ir
0.5000 0.0000 0.8312 Ir
0.0000 0.5000 0.8312 Ir
0.5000 0.5000 0.1688 Ir
0.5000 0.5000 0.8312 Ir
0.5000 0.5000 0.5000 Ir
0.0000 0.5000 0.1688 Ir
0.0000 0.5000 0.5000 Ir
0.3333 0.6667 0.0000 Ga
0.6667 0.3333 0.0000 Ga
0.6667 0.3333 0.6649 Ga
0.3333 0.6667 0.6649 Ga
0.3333 0.6667 0.3351 Ga
0.6667 0.3333 0.3351 Ga
0.0000 0.0000 0.3031 Nd
0.0000 0.0000 0.6969 Nd

[4]
Cs4Pr3TiTe8 (PBE, optimized geometry); DOS at the Fermi energy = 0.39 states/eV per atom; space-group type = R-3m (166); total moment = 1.00 μB per formula unit; electronic total energy = -4.401 eV per atom; uncorrected formation energy = -1227 meV/atom
1.0
-4.1274 8.0550 -1.6267
-6.8000 -1.9478 7.6087
8.8928 -0.2215 2.3323
Te Cs Pr Ti
8 4 3 1
direct
0.7838 0.3134 0.5676 Te
0.2667 0.3002 0.5334 Te
0.7544 0.6866 0.9705 Te
0.2162 0.6866 0.4324 Te
0.7839 0.3134 0.0295 Te
0.2456 0.3134 0.0295 Te
0.2161 0.6866 0.9705 Te
0.7333 0.6998 0.4666 Te
0.0000 0.0000 0.0000 Cs
0.5000 0.0000 0.0000 Cs
0.0000 0.0000 0.5000 Cs
0.5000 0.0000 0.5000 Cs
0.0000 0.5000 0.5000 Pr
0.5000 0.5000 0.5000 Pr
0.5000 0.5000 0.0000 Pr
0.0000 0.5000 0.0000 Ti

[5]
Mn2OsW (PBE, optimized geometry); DOS at the Fermi energy = 1.11 states/eV per atom; space-group type = I4/mmm (139); total moment = 2.40 μB per formula unit; electronic total energy = -10.517 eV per atom; calculated formation energy = 113.9 meV per atom
1.0
-2.3268 -3.6348 1.5355
3.0127 -3.2102 1.2656
-0.2987 4.4418 1.0794
Os Mn W
1 2 1
direct
0.2500 0.7500 0.5000 Os
0.5000 0.5000 0.0000 Mn
0.0000 0.0000 0.0000 Mn
0.7500 0.2500 0.5000 W

[6]
SrGa2TeO6 (PBE, optimized geometry); DOS at the Fermi energy = 0.00 states/eV per atom; space-group type = C2/c (15); total moment = 0.00 μB per formula unit; electronic total energy = -5.888 eV per atom; uncorrected formation energy = -1826 meV/atom
1.0
-4.2185 3.8235 -2.5532
-3.2529 -3.9906 -5.3304
-6.3482 -1.4965 3.5186
O Sr Ga Te
12 2 4 2
direct
0.9825 0.7796 0.6884 O
0.5175 0.3116 0.2204 O
0.0175 0.2204 0.3116 O
0.9105 0.3880 0.8372 O
0.4105 0.8372 0.3880 O
0.8287 0.9470 0.2464 O
0.5895 0.1628 0.6120 O
0.6713 0.7536 0.0530 O
0.1713 0.0530 0.7536 O
0.3287 0.2464 0.9470 O
0.0895 0.6120 0.1628 O
0.4825 0.6884 0.7796 O
0.7500 0.1106 0.8894 Sr
0.2500 0.8894 0.1106 Sr
0.7249 0.1845 0.3592 Ga
0.7751 0.6408 0.8155 Ga
0.2751 0.8155 0.6408 Ga
0.2249 0.3592 0.1845 Ga
0.2500 0.2925 0.7075 Te
0.7500 0.7075 0.2925 Te

[7]
KScAl2 (PBE, optimized geometry); DOS at the Fermi energy = 0.72 states/eV per atom; space-group type = C2/m (12); total moment = 0.00 μB per formula unit; electronic total energy = -3.551 eV per atom; calculated formation energy = 177.5 meV per atom; polymorph energy (0 for the lowest one) = 199 meV per atom
1.0
5.1123 0.0156 -0.0214
4.1994 2.9157 -0.0214
0.6926 0.2180 7.5554
K Sc Al
1 1 2
direct
0.7500 0.7500 0.7500 K
0.2500 0.2500 0.2500 Sc
0.9902 0.9902 0.0886 Al
0.5098 0.5098 0.4114 Al

[8]
Y3Cu (PBE, optimized geometry); DOS at the Fermi energy = 1.58 states/eV per atom; space-group type = Pm-3m (221); total moment = 0.00 μB per formula unit; electronic total energy = -5.725 eV per atom; calculated formation energy = 147.1 meV per atom
1.0
4.7189 0.0000 0.0000
0.0000 4.7189 0.0000
0.0000 0.0000 4.7189
Y Cu
3 1
direct
0.5000 0.0000 0.5000 Y
0.5000 0.5000 0.0000 Y
0.0000 0.5000 0.5000 Y
0.0000 0.0000 0.0000 Cu

[9]
TiNiRu2Pb (PBE, optimized geometry); DOS at the Fermi energy = 1.02 states/eV per atom; space-group type = P4/mmm (123); total moment = 0.00 μB per formula unit; electronic total energy = -6.336 eV per atom; calculated formation energy = 851.7 meV per atom
1.0
4.5849 0.0000 0.0000
0.0000 4.4663 0.0000
0.0000 0.0000 4.5849
Ti Ru Ni Pb
1 2 1 1
direct
0.0000 0.0000 0.0000 Ti
0.5000 0.0000 0.0000 Ru
0.0000 0.0000 0.5000 Ru
0.0000 0.5000 0.0000 Ni
0.5000 0.5000 0.5000 Pb

[10]
LuZnHgPb (PBE, optimized geometry); DOS at the Fermi energy = 1.08 states/eV per atom; space-group type = F-43m (216); total moment = 0.00 μB per formula unit; electronic total energy = -2.538 eV per atom; calculated formation energy = -86.9 meV per atom
1.0
5.1539 0.0000 0.0000
2.5769 4.4634 0.0000
2.5769 1.4878 4.2081
Zn Lu Hg Pb
1 1 1 1
direct
0.7500 0.7500 0.7500 Zn
0.5000 0.5000 0.5000 Lu
0.2500 0.2500 0.2500 Hg
0.0000 0.0000 0.0000 Pb

[11]
SbMo2Ir (PBE, optimized geometry); DOS at the Fermi energy = 0.81 states/eV per atom; space-group type = C2/m (12); total moment = 0.00 μB per formula unit; electronic total energy = -8.503 eV per atom; uncorrected formation energy = 159 meV/atom
1.0
-4.5920 -1.9661 0.3881
-3.2853 -2.0918 3.1518
-2.3817 3.8329 1.3004
Sb Mo Ir
1 2 1
direct
0.7500 0.7500 0.7500 Sb
0.9926 0.9926 0.0263 Mo
0.5074 0.5074 0.4737 Mo
0.2500 0.2500 0.2500 Ir

[12]
Cs2CdBiCl6 (PBE, optimized geometry); DOS at the Fermi energy = 0.28 states/eV per atom; space-group type = I4/mmm (139); total moment = 0.00 μB per formula unit; electronic total energy = -3.114 eV per atom; uncorrected formation energy = -1356 meV/atom
1.0
-6.4377 0.8224 -4.4358
-4.4703 -2.2031 6.0794
-5.8812 4.5863 2.4199
Cl Cd Bi Cs
6 1 1 2
direct
0.7508 0.7508 0.0000 Cl
0.7484 0.7484 0.5033 Cl
0.2516 0.2516 0.4967 Cl
0.7508 0.2492 0.0000 Cl
0.2492 0.7508 0.0000 Cl
0.2492 0.2492 0.0000 Cl
0.5000 0.5000 0.0000 Cd
0.0000 0.0000 0.0000 Bi
0.2500 0.7500 0.5000 Cs
0.7500 0.2500 0.5000 Cs

[13]
NaGaW3 (PBE, optimized geometry); DOS at the Fermi energy = 1.18 states/eV per atom; space-group type = Pm-3m (221); total moment = 0.00 μB per formula unit; electronic total energy = -5.691 eV per atom; calculated formation energy = 2950.4 meV per atom; polymorph energy (0 for the lowest one) = 887 meV per atom
1.0
-1.8805 -4.1021 0.2862
3.0404 -1.5989 -2.9403
2.7686 -1.0304 3.4233
W Na Ga
3 1 1
direct
0.0000 0.5000 0.0000 W
0.5000 0.0000 0.0000 W
0.0000 0.0000 0.5000 W
0.0000 0.0000 0.0000 Na
0.5000 0.5000 0.5000 Ga

[14]
Fe2RuPt9 (PBE, optimized geometry); DOS at the Fermi energy = 1.12 states/eV per atom; space-group type = P4/mmm (123); total moment = 7.85 μB per formula unit; electronic total energy = -6.842 eV per atom; calculated formation energy = -128.4 meV per atom
1.0
3.9262 0.0000 0.0000
0.0000 3.9262 0.0000
0.0000 0.0000 11.7470
Pt Fe Ru
9 2 1
direct
0.0000 0.5000 0.8305 Pt
0.0000 0.5000 0.5000 Pt
0.5000 0.0000 0.5000 Pt
0.5000 0.5000 0.0000 Pt
0.5000 0.5000 0.6648 Pt
0.0000 0.5000 0.1695 Pt
0.5000 0.0000 0.8305 Pt
0.5000 0.5000 0.3352 Pt
0.5000 0.0000 0.1695 Pt
0.0000 0.0000 0.6675 Fe
0.0000 0.0000 0.3325 Fe
0.0000 0.0000 0.0000 Ru

[15]
K2TlC (PBE, optimized geometry); DOS at the Fermi energy = 0.32 states/eV per atom; space-group type = I-42d (122); total moment = 0.00 μB per formula unit; electronic total energy = -2.614 eV per atom; calculated formation energy = 832.7 meV per atom; polymorph energy (0 for the lowest one) = 0 meV per atom
1.0
-11.0321 1.8624 -4.2750
2.4757 -6.9656 -9.4235
-5.0086 -4.3193 -5.7345
K C Tl
4 2 2
direct
0.4317 0.1250 0.2500 K
0.8750 0.6817 0.7500 K
0.3183 0.6250 0.2500 K
0.3750 0.5683 0.7500 K
0.2500 0.7500 0.5000 C
0.5000 0.5000 0.0000 C
0.0000 0.0000 0.0000 Tl
0.7500 0.2500 0.5000 Tl

[16]
Sc2CrSi (PBE, optimized geometry); DOS at the Fermi energy = 1.33 states/eV per atom; space-group type = I-42d (122); total moment = 0.01 μB per formula unit; electronic total energy = -6.544 eV per atom; uncorrected formation energy = 384 meV/atom
1.0
7.3274 0.0000 0.0000
0.0000 7.3274 0.0000
3.6637 3.6637 2.6377
Sc Si Cr
4 2 2
direct
0.1145 0.6250 0.2500 Sc
0.3750 0.3645 0.7500 Sc
0.6355 0.1250 0.2500 Sc
0.8750 0.8855 0.7500 Sc
0.2500 0.7500 0.5000 Si
0.5000 0.5000 0.0000 Si
0.0000 0.0000 0.0000 Cr
0.7500 0.2500 0.5000 Cr

[17]
La8AgGe5 (PBE, optimized geometry); DOS at the Fermi energy = 0.82 states/eV per atom; space-group type = I-4 (82); total moment = 0.00 μB per formula unit; electronic total energy = -5.380 eV per atom; calculated formation energy = -711.5 meV per atom
1.0
7.6776 0.0000 -2.6332
-3.8339 6.6078 -2.7417
-0.0098 0.0000 8.1166
La Ge Ag
8 5 1
direct
0.9806 0.1038 0.7378 La
0.1232 0.7572 0.0194 La
0.2622 0.2428 0.3660 La
0.6383 0.3885 0.8778 La
0.7502 0.2395 0.3617 La
0.6340 0.8962 0.8768 La
0.4893 0.6115 0.2498 La
0.1222 0.7605 0.5107 La
0.7514 0.6228 0.6268 Ge
0.8714 0.8754 0.2486 Ge
0.5000 0.0000 0.5000 Ge
0.0041 0.3772 0.1286 Ge
0.3732 0.1246 0.9959 Ge
0.2500 0.5000 0.7500 Ag

[18]
Zr3TaFe8 (PBE, optimized geometry); DOS at the Fermi energy = 0.77 states/eV per atom; space-group type = R3m (160); total moment = 11.86 μB per formula unit; electronic total energy = -9.016 eV per atom; calculated formation energy = -249.1 meV per atom
1.0
8.5446 -0.0021 -0.0013
7.1222 4.7207 -0.0013
7.1222 2.1451 4.2051
Fe Zr Ta
8 3 1
direct
0.8122 0.8122 0.8122 Fe
0.5636 0.5636 0.0643 Fe
0.5636 0.0643 0.5636 Fe
0.0622 0.5593 0.0622 Fe
0.0643 0.5636 0.5636 Fe
0.5593 0.0622 0.0622 Fe
0.3125 0.3125 0.3125 Fe
0.0622 0.0622 0.5593 Fe
0.0008 0.0008 0.0008 Zr
0.4992 0.4992 0.4992 Zr
0.6252 0.6252 0.6252 Zr
0.1250 0.1250 0.1250 Ta

[19]
Zr2Ag3Au2 (PBE, optimized geometry); DOS at the Fermi energy = 0.75 states/eV per atom; space-group type = Cmmm (65); total moment = 0.00 μB per formula unit; electronic total energy = -4.825 eV per atom; calculated formation energy = -224.5 meV per atom
1.0
-0.7649 2.8338 -0.1945
-4.3685 -1.1575 0.3151
2.6883 1.4019 9.8540
Au Ag Zr
2 3 2
direct
0.5000 0.7100 0.4200 Au
0.5000 0.2900 0.5800 Au
0.0000 0.0000 0.0000 Ag
0.5000 0.5693 0.1387 Ag
0.5000 0.4307 0.8613 Ag
0.0000 0.1532 0.3064 Zr
0.0000 0.8468 0.6936 Zr

[20]
PmPr2Al (PBE, optimized geometry); DOS at the Fermi energy = 0.93 states/eV per atom; space-group type = P4/mmm (123); total moment = 0.00 μB per formula unit; electronic total energy = -4.655 eV per atom; calculated formation energy = -141.5 meV per atom; polymorph energy (0 for the lowest one) = 34 meV per atom
1.0
3.6230 0.0000 0.0000
0.0000 3.6230 0.0000
0.0000 0.0000 9.4357
Al Pm Pr
1 1 2
direct
0.5000 0.5000 0.0000 Al
0.5000 0.5000 0.5000 Pm
0.0000 0.0000 0.2133 Pr
0.0000 0.0000 0.7867 Pr

[21]
AlV2Ni (PBE, optimized geometry); DOS at the Fermi energy = 0.94 states/eV per atom; space-group type = P4/mmm (123); total moment = 0.00 μB per formula unit; electronic total energy = -7.211 eV per atom; calculated formation energy = -270.8 meV per atom
1.0
-3.4631 2.3514 0.2351
-1.8645 -2.6013 -1.4459
-0.6650 -1.2989 3.1944
Ni V Al
1 2 1
direct
0.5000 0.5000 0.5000 Ni
0.0000 0.5000 0.0000 V
0.0000 0.0000 0.5000 V
0.5000 0.0000 0.0000 Al

[22]
NaHfTcPd2 (PBE, optimized geometry); DOS at the Fermi energy = 0.32 states/eV per atom; space-group type = P4/mmm (123); total moment = 1.64 μB per formula unit; electronic total energy = -5.687 eV per atom; calculated formation energy = 717.7 meV per atom
1.0
-3.2931 3.1483 -2.0759
-3.6263 -2.7292 1.6136
-0.1215 2.6659 4.2360
Pd Tc Na Hf
2 1 1 1
direct
0.5000 0.0000 0.0000 Pd
0.0000 0.0000 0.5000 Pd
0.0000 0.5000 0.0000 Tc
0.5000 0.5000 0.5000 Na
0.0000 0.0000 0.0000 Hf

[23]
Ac3PmTh2N6 (PBE, optimized geometry); DOS at the Fermi energy = 0.18 states/eV per atom; space-group type = C2/m (12); total moment = 0.00 μB per formula unit; electronic total energy = -8.161 eV per atom; uncorrected formation energy = -1339 meV/atom
1.0
-6.4514 -0.4870 -0.5948
3.8159 -0.9268 -5.1760
1.2113 -5.5921 3.2515
N Ac Th Pm
6 3 2 1
direct
0.5843 0.9262 0.7782 N
0.2690 0.2690 0.7801 N
0.4157 0.0738 0.2218 N
0.7310 0.7310 0.2199 N
0.9262 0.5843 0.7782 N
0.0738 0.4157 0.2218 N
0.8350 0.1650 0.5000 Ac
0.5000 0.5000 0.5000 Ac
0.1650 0.8350 0.5000 Ac
0.3332 0.6668 0.0000 Th
0.6668 0.3332 0.0000 Th
0.0000 0.0000 0.0000 Pm

[24]
Tl2WI4Br2 (PBE, optimized geometry); DOS at the Fermi energy = 0.65 states/eV per atom; space-group type = C2/m (12); total moment = 2.00 μB per formula unit; electronic total energy = -3.429 eV per atom; uncorrected formation energy = -403 meV/atom
1.0
7.9818 1.2454 0.8473
2.9753 7.0698 -0.0913
2.9753 2.5109 6.6095
Tl W I Br
2 1 4 2
direct
0.2461 0.7471 0.7471 Tl
0.7539 0.2529 0.2529 Tl
0.5000 0.0000 0.0000 W
0.3016 0.2019 0.7194 I
0.6984 0.2806 0.7981 I
0.3016 0.7194 0.2019 I
0.6984 0.7981 0.2806 I
0.1975 0.2403 0.2403 Br
0.8025 0.7597 0.7597 Br